Entry 1:
Pm4Pr3PuS8: optimized geometry, PBE.

Output
As for the total energy: -112.71 eV for the cell shown. For the volume, the calculation gives 376.6 Å³/cell. The spin magnetization is 0.355 μB/atom.

POSCAR file:
```
Pm4Pr3PuS8
1.0
4.0531 2.3401 6.6172
-4.0531 2.3401 6.6172
0.0000 -4.6801 6.6172
Pm Pr Pu S
4 3 1 8
Direct
0.0000 0.0000 0.0000
0.0000 0.5000 0.5000
0.5000 0.0000 0.5000
0.5000 0.5000 0.0000
0.0000 0.0000 0.5000
0.0000 0.5000 0.0000
0.5000 0.0000 0.0000
0.5000 0.5000 0.5000
0.2522 0.2522 0.2522
0.2525 0.2525 0.7434
0.2525 0.7434 0.2525
0.2566 0.7475 0.7475
0.7434 0.2525 0.2525
0.7475 0.2566 0.7475
0.7475 0.7475 0.2566
0.7478 0.7478 0.7478
```

***

Entry 2:
Mn3SiH: optimized geometry, PBE.

Output
For the distance to the lowest polymorph of the same formula, the calculation gives 393.5 meV/atom. As for the total energy: -142.10 eV for the cell shown. For the volume, the calculation gives 220.8 Å³/cell. The spin magnetization is 1.055 μB/atom.

POSCAR file:
```
Mn3SiH
1.0
0.0000 4.7973 4.7973
4.7973 0.0000 4.7973
4.7973 4.7973 0.0000
Mn Si H
12 4 4
Direct
0.0648 0.0648 0.6852
0.0648 0.6852 0.0648
0.0648 0.6852 0.6852
0.3148 0.3148 0.9352
0.3148 0.9352 0.3148
0.3148 0.9352 0.9352
0.6852 0.0648 0.0648
0.6852 0.0648 0.6852
0.6852 0.6852 0.0648
0.9352 0.3148 0.3148
0.9352 0.3148 0.9352
0.9352 0.9352 0.3148
0.0000 0.5000 0.5000
0.5000 0.0000 0.5000
0.5000 0.5000 0.0000
0.5000 0.5000 0.5000
0.0000 0.0000 0.0000
0.0000 0.0000 0.5000
0.0000 0.5000 0.0000
0.5000 0.0000 0.0000
```

***

Entry 3:
NpUSe3: optimized geometry, PBE.

Output
For the distance to the lowest polymorph of the same formula, the calculation gives 272.7 meV/atom. As for the total energy: -78.60 eV for the cell shown. For the volume, the calculation gives 311.2 Å³/cell. The spin magnetization is 1.400 μB/atom.

POSCAR file:
```
NpUSe3
1.0
7.7208 -2.4306 0.0000
7.7208 2.4306 0.0000
-0.8647 0.0000 8.2926
Np U Se
2 2 6
Direct
0.1426 0.1426 0.3737
0.8574 0.8574 0.6263
0.3721 0.3721 0.0851
0.6279 0.6279 0.9149
0.1800 0.1800 0.0474
0.3302 0.3302 0.4133
0.4523 0.4523 0.7781
0.5477 0.5477 0.2219
0.6698 0.6698 0.5867
0.8200 0.8200 0.9526
```

***

Entry 4:
PrPa2BeO8: optimized geometry, PBE.

Output
As for the total energy: -101.18 eV for the cell shown. For the volume, the calculation gives 140.6 Å³/cell. The spin magnetization is 0.000 μB/atom.

POSCAR file:
```
PrPa2BeO8
1.0
4.9305 0.0000 0.0000
-2.4653 4.2699 0.0000
0.0000 0.0000 6.6793
Pr Pa Be O
1 2 1 8
Direct
0.0000 0.0000 0.0000
0.3333 0.6667 0.3587
0.6667 0.3333 0.6413
0.0000 0.0000 0.5000
0.1650 0.3299 0.6618
0.1650 0.8350 0.6618
0.3299 0.1650 0.3382
0.3333 0.6667 0.0652
0.6667 0.3333 0.9348
0.6701 0.8350 0.6618
0.8350 0.1650 0.3382
0.8350 0.6701 0.3382
```

***

Entry 5:
InCoN2: optimized geometry, PBE.

Output
As for the total energy: -23.33 eV for the cell shown. For the volume, the calculation gives 56.7 Å³/cell. The spin magnetization is 0.454 μB/atom.

POSCAR file:
```
InCoN2
1.0
1.6712 0.9649 5.8593
-1.6712 0.9649 5.8593
0.0000 -1.9298 5.8593
In Co N
1 1 2
Direct
0.0000 0.0000 0.0000
0.5000 0.5000 0.5000
0.4011 0.4011 0.4011
0.5989 0.5989 0.5989
```

***

Entry 6:
Dy2Re3W: optimized geometry, PBE.

Output
As for the total energy: -60.42 eV for the cell shown. For the volume, the calculation gives 114.3 Å³/cell. The value obtained for the formation energy is -0.15 eV/atom. The spin magnetization is 0.000 μB/atom.

POSCAR file:
```
Dy2Re3W
1.0
4.7064 -2.7263 0.0000
4.7064 2.7263 0.0000
-3.1417 0.0000 4.4547
Dy Re W
2 3 1
Direct
0.1240 0.1240 0.3727
0.8760 0.8760 0.6273
0.0000 0.5000 0.0000
0.5000 0.0000 0.0000
0.5000 0.5000 0.0000
0.5000 0.5000 0.5000
```

***

Entry 7:
MgNp3As4: optimized geometry, PBE.

Output
As for the total energy: -63.86 eV for the cell shown. For the volume, the calculation gives 191.3 Å³/cell. The value obtained for the formation energy is -0.61 eV/atom. The spin magnetization is 1.363 μB/atom.

POSCAR file:
```
MgNp3As4
1.0
5.7620 0.0000 0.0000
0.0000 5.7620 0.0000
0.0000 0.0000 5.7620
Mg Np As
1 3 4
Direct
0.0000 0.0000 0.0000
0.0000 0.5000 0.5000
0.5000 0.0000 0.5000
0.5000 0.5000 0.0000
0.0000 0.0000 0.5000
0.0000 0.5000 0.0000
0.5000 0.0000 0.0000
0.5000 0.5000 0.5000
```

***

Entry 8:
AcBeNiP2: optimized geometry, PBE.

Output
As for the total energy: -28.57 eV for the cell shown. For the volume, the calculation gives 84.7 Å³/cell. The value obtained for the formation energy is -0.83 eV/atom. The spin magnetization is 0.000 μB/atom.

POSCAR file:
```
AcBeNiP2
1.0
-1.9069 1.9069 5.8256
1.9069 -1.9069 5.8256
1.9069 1.9069 -5.8256
Ac Be Ni P
1 1 1 2
Direct
0.0000 0.0000 0.0000
0.7500 0.2500 0.5000
0.2500 0.7500 0.5000
0.3550 0.3550 0.0000
0.6450 0.6450 0.0000
```